The following is a DFT calculation (PBE) of a geometry-optimized KSi2Sb structure.

```
KSi2Sb
1.0
-3.175 -3.742 -2.592
2.594 -4.906 0.019
-1.124 3.587 4.083
Si K Sb
2 1 1
direct
0.500 0.500 0.000 Si
0.000 0.000 0.000 Si
0.250 0.750 0.500 K
0.750 0.250 0.500 Sb
```

Values from the calculation:
calculated volume	23.422	Å³/atom
space group	No. 139
raw total energy	-13.72	eV/cell
E_form (uncorrected)	0.59	eV/atom
DOS(E_F)	2.09	states/eV/f.u.

---

The following is a DFT calculation (PBE) of a geometry-optimized Ba3Li4Cd2 structure.

```
Ba3Li4Cd2
1.0
4.982 0.000 1.404
1.991 5.901 2.477
-0.180 -0.036 10.181
Li Ba Cd
4 3 2
direct
0.267 0.399 0.066 Li
0.097 0.457 0.349 Li
0.733 0.601 0.934 Li
0.903 0.543 0.651 Li
0.617 0.135 0.630 Ba
0.000 0.000 0.000 Ba
0.383 0.865 0.370 Ba
0.704 0.356 0.235 Cd
0.296 0.644 0.765 Cd
```

Values from the calculation:
E above lowest polymorph	0.0	meV per atom
calculated volume	33.460	Å³/atom
ΔH_f (0 K)	-2.96	kcal/mol of atoms
space group	No. 12
raw total energy	-16.41	eV/cell
DOS(E_F)	7.38	states/eV/f.u.

---

Question: Which value of raw total energy does entry 2 give?
Answer: -16.41 eV/cell